(1)
A plane-wave DFT calculation with GGA-PBE was carried out for crystalline FeBiIr at its relaxed geometry.

POSCAR file:
```
FeBiIr
1.0
3.127 0.000 0.000
-1.563 3.712 0.000
0.000 0.000 10.814
Fe Ir Bi
2 2 2
direct
0.186 0.373 0.889
0.186 0.373 0.111
0.482 0.964 0.000
0.412 0.825 0.500
0.700 0.400 0.337
0.700 0.400 0.663
```

## Properties
Total DFT energy (no corrections) = -6.5200 eV/atom
ΔE_f = 1.6 eV per formula unit
Mass density = 12095 kg/m³
Volume = 20.92 Å³ per atom

(2)
A plane-wave DFT calculation with GGA-PBE was carried out for crystalline FeBi2Ir at its relaxed geometry.

POSCAR file:
```
FeBi2Ir
1.0
0.000 3.436 3.436
3.436 0.000 3.436
3.436 3.436 0.000
Fe Bi Ir
1 2 1
direct
0.000 0.000 0.000
0.750 0.750 0.750
0.250 0.250 0.250
0.500 0.500 0.500
```

## Properties
Total DFT energy (no corrections) = -5.7741 eV/atom
Distance to the lowest polymorph of the same formula = 0 meV/atom
ΔE_f = 2.0 eV per formula unit
Mass density = 13628 kg/m³
Volume = 20.29 Å³ per atom